Record 1
An optimized crystal structure of Tc2Ru, computed with PBE-GGA.

```
Tc2Ru
1.0
-4.617 -7.913 8.123
-7.266 -5.147 8.404
4.921 5.694 -9.658
Tc Ru
4 2
Direct
0.579 0.579 0.000
0.421 0.421 0.000
0.329 0.829 0.500
0.171 0.671 0.500
0.750 0.250 0.500
0.000 0.000 0.000
```

- Offset from the most stable computed form: 30.0 kJ per mole of atoms
- D(E_F): 1.2315 states/eV/atom
- Formation enthalpy at 0 K: 25.5 kJ per mole of atoms

Record 2
An optimized crystal structure of TcRu3, computed with PBE-GGA.

```
TcRu3
1.0
5.456 0.000 0.000
2.728 4.725 0.000
0.000 0.000 8.730
Ru Tc
12 4
Direct
0.500 0.500 0.000
0.500 0.500 0.500
0.834 0.332 0.750
0.332 0.834 0.750
0.166 0.166 0.250
0.500 0.000 0.000
0.500 0.000 0.500
0.000 0.500 0.000
0.000 0.500 0.500
0.834 0.834 0.750
0.668 0.166 0.250
0.166 0.668 0.250
0.000 0.000 0.000
0.000 0.000 0.500
0.667 0.667 0.250
0.333 0.333 0.750
```

- D(E_F): 1.0376 states/eV/atom
- Formation enthalpy at 0 K: 2.0 kJ per mole of atoms

Record 3
An optimized crystal structure of Tc2Ru, computed with PBE-GGA.

```
Tc2Ru
1.0
-2.255 -2.602 2.591
-2.924 -3.418 -2.392
1.634 -4.823 0.165
Tc Ru
4 2
Direct
0.833 0.167 0.167
0.167 0.333 0.333
0.833 0.667 0.667
0.167 0.833 0.833
0.500 0.750 0.250
0.500 0.250 0.750
```

- Offset from the most stable computed form: 11.3 kJ per mole of atoms
- D(E_F): 0.6642 states/eV/atom
- Formation enthalpy at 0 K: 6.8 kJ per mole of atoms

Record 4
An optimized crystal structure of Tc8Ru, computed with PBE-GGA.

```
Tc8Ru
1.0
2.666 0.533 0.311
2.779 7.639 -1.021
-1.936 -1.295 6.880
Tc Ru
8 1
Direct
0.665 0.001 0.332
0.335 0.999 0.668
0.331 0.334 0.665
0.997 0.668 0.000
0.666 0.333 0.333
0.003 0.332 0.000
0.669 0.666 0.335
0.334 0.667 0.667
0.000 0.000 0.000
```

- Offset from the most stable computed form: 0.2 kJ per mole of atoms
- D(E_F): 1.3185 states/eV/atom
- Formation enthalpy at 0 K: 7.0 kJ per mole of atoms